(1)
The following is a PBE calculation of crystalline Tb2YCo2B2N3 at its relaxed geometry, from OQMD via LeMat-Bulk.

Geometry as POSCAR:
```
Tb2YCo2B2N3
1.0
-1.740 1.740 9.951
1.740 -1.740 9.951
1.740 1.740 -9.951
Tb Y Co B N
2 1 2 2 3
Cartesian
0.000 0.000 2.473
0.000 0.000 17.430
0.000 0.000 9.951
1.740 0.000 4.976
0.000 1.740 4.976
0.000 0.000 6.092
0.000 0.000 13.811
0.000 0.000 0.000
0.000 0.000 7.599
0.000 0.000 12.304
```

=====

(2)
The following is a PBE calculation of crystalline Dy3HoLu2Bi2Os at its relaxed geometry, from OQMD via LeMat-Bulk.

Geometry as POSCAR:
```
Dy3HoLu2Bi2Os
1.0
4.230 0.000 0.000
0.000 7.126 4.103
0.000 -7.126 4.103
Dy Ho Lu Bi Os
3 1 2 2 1
Cartesian
0.000 0.000 0.000
0.000 -2.761 3.461
0.000 2.761 3.461
2.115 0.000 3.148
2.115 -1.642 5.992
2.115 1.642 5.992
2.115 -4.739 5.039
2.115 4.739 5.039
0.000 0.000 5.081
```

=====

(3)
Ba2LiOsS6 | OQMD via LeMat-Bulk | PBE | relaxed; polymorph energy (0 for the lowest one) = 0 meV per atom
1.0
5.867 -3.387 0.000
5.867 3.387 0.000
-3.910 0.000 5.544
Ba Li Os S
2 1 1 6
Cartesian
1.956 0.000 1.388
5.867 0.000 4.157
-1.955 0.000 2.772
5.867 0.000 0.000
4.896 1.666 1.354
0.041 0.000 4.173
2.927 1.666 4.191
4.896 -1.666 1.354
7.782 0.000 1.372
2.927 -1.666 4.191

=====

no.,electronic total energy (eV per cell)
1,-80.3
2,-52.0
3,-50.7